Entry 1:
Nb2AlFePt | PBE | optimized geometry

DOS(E_F) = 6.5 states/eV/f.u.
E_form = 1.24 eV per atom

a = 4.676 Å, b = 4.391 Å, c = 4.676 Å
α = 90.00°, β = 90.00°, γ = 90.00°
Site moments in Bohr magnetons follow the coordinates.
Positions (direct):
Nb  0.500  0.000  0.000  -0.08
Nb  0.000  0.000  0.500  -0.01
Al  0.000  0.000  0.000  0.00
Fe  0.500  0.500  0.500  0.18
Pt  0.000  0.500  0.000  -0.03


Entry 2:
Nb2AlFe2Ru5 | PBE | optimized geometry

DOS(E_F) = 9.9 states/eV/f.u.
E_form = -0.09 eV per atom

a = 3.913 Å, b = 8.617 Å, c = 8.617 Å
α = 90.00°, β = 90.00°, γ = 90.00°
Positions (direct):
Ru  0.500  0.000  0.500
Ru  0.500  0.924  0.198
Ru  0.500  0.302  0.576
Ru  0.500  0.802  0.924
Ru  0.500  0.076  0.802
Ru  0.500  0.500  0.000
Ru  0.500  0.576  0.698
Ru  0.500  0.198  0.076
Ru  0.500  0.424  0.302
Ru  0.500  0.698  0.424
Nb  0.000  0.658  0.158
Nb  0.000  0.842  0.658
Nb  0.000  0.342  0.842
Nb  0.000  0.158  0.342
Fe  0.000  0.862  0.362
Fe  0.000  0.362  0.138
Fe  0.000  0.138  0.638
Fe  0.000  0.638  0.862
Al  0.000  0.500  0.500
Al  0.000  0.000  0.000


Entry 3:
NbAlFeRu2 | PBE | optimized geometry

DOS(E_F) = 6.5 states/eV/f.u.
E_form = 1.44 eV per atom

a = 4.314 Å, b = 4.656 Å, c = 4.314 Å
α = 90.00°, β = 90.00°, γ = 90.00°
Positions (direct):
Ru  0.000  0.000  0.500
Ru  0.500  0.000  0.000
Fe  0.500  0.500  0.500
Al  0.000  0.000  0.000
Nb  0.000  0.500  0.000


Entry 4:
NbAl2FeTc | PBE | optimized geometry

DOS(E_F) = 7.6 states/eV/f.u.
E_form = 1.48 eV per atom

a = 4.923 Å, b = 4.633 Å, c = 4.923 Å
α = 90.00°, β = 90.00°, γ = 90.00°
Site moments in Bohr magnetons follow the coordinates.
Positions (direct):
Nb  0.000  0.000  0.000  -0.14
Tc  0.000  0.500  0.000  -0.83
Al  0.000  0.000  0.500  0.00
Al  0.500  0.000  0.000  -0.01
Fe  0.500  0.500  0.500  -3.25


Among the records above, which one has the highest E_form?
NbAl2FeTc


DOS(E_F) of number 2 (Nb2AlFe2Ru5)?
9.9 states/eV/f.u.